## 1
The following is a DFT calculation (PBE+U) of crystalline YCoF3 at its relaxed geometry.

abc: 4.4509 4.4509 4.4509
angles: 90.00 90.00 90.00
Each line ends with the local moment (μB).
Sites, in units of the cell vectors:
Y (0.0000, 0.0000, 0.0000)  -0.01
Co (0.5000, 0.5000, 0.5000)  2.15
F (0.0000, 0.5000, 0.0000)  0.03
F (0.0000, 0.0000, 0.5000)  0.03
F (0.5000, 0.0000, 0.0000)  0.02

## Properties
SG = No. 221

---

## 2
The following is a DFT calculation (PBE+U) of crystalline YCoF3 at its relaxed geometry.

abc: 4.1171 4.1171 4.1171
angles: 90.00 90.00 90.00
Each line ends with the local moment (μB).
Sites, in units of the cell vectors:
Y (0.5000, 0.5000, 0.5000)  -0.56
Co (0.0000, 0.0000, 0.0000)  2.08
F (0.0000, 0.5000, 0.0000)  0.01
F (0.0000, 0.0000, 0.5000)  0.01
F (0.5000, 0.0000, 0.0000)  0.01

## Properties
SG = No. 221

---

Most stable structure, least stable structure: 1, 2.